{
  "formula": "RbHfSbF2",
  "functional": "PBE",
  "state": "optimized geometry",
  "cell": [[4.452, 0.000, 0.000], [0.000, 4.452, 0.000], [0.000, 0.000, 7.439]],
  "species": ["Rb", "Hf", "Sb", "F", "F"],
  "frac_coords": [[0.000, 0.000, 0.000], [0.000, 0.000, 0.500], [0.500, 0.500, 0.500], [0.000, 0.500, 0.000], [0.500, 0.000, 0.000]],
  "energy_ev_per_atom": -4.115,
  "e_form_raw_kj_per_mol_fu": -172
}


{
  "formula": "RbHfSe2F",
  "functional": "PBE",
  "state": "optimized geometry",
  "cell": [[5.279, 0.000, 0.000], [0.000, 5.279, 0.000], [0.000, 0.000, 4.244]],
  "species": ["Rb", "Hf", "Se", "Se", "F"],
  "frac_coords": [[0.000, 0.000, 0.000], [0.500, 0.500, 0.500], [0.000, 0.500, 0.500], [0.500, 0.000, 0.500], [0.500, 0.500, 0.000]],
  "energy_ev_per_atom": -5.818,
  "e_form_raw_kj_per_mol_fu": -900
}


{
  "formula": "Rb2HfSiF6",
  "functional": "PBE",
  "state": "optimized geometry",
  "cell": [[-3.061, 3.061, 5.983], [3.061, -3.061, 5.983], [3.061, 3.061, -5.983]],
  "species": ["Rb", "Rb", "Hf", "Si", "F", "F", "F", "F", "F", "F"],
  "frac_coords": [[0.250, 0.750, 0.500], [0.750, 0.250, 0.500], [0.000, 0.000, 0.000], [0.500, 0.500, 0.000], [0.168, 0.168, 0.000], [0.231, 0.231, 0.463], [0.231, 0.769, 0.000], [0.769, 0.231, 0.000], [0.769, 0.769, 0.537], [0.832, 0.832, 0.000]],
  "energy_ev_per_atom": -5.497,
  "e_form_raw_kj_per_mol_fu": -2550
}


{
  "formula": "Rb2HfSnF6",
  "functional": "PBE",
  "state": "optimized geometry",
  "cell": [[-3.194, 3.194, 6.124], [3.194, -3.194, 6.124], [3.194, 3.194, -6.124]],
  "species": ["Rb", "Rb", "Hf", "Sn", "F", "F", "F", "F", "F", "F"],
  "frac_coords": [[0.250, 0.750, 0.500], [0.750, 0.250, 0.500], [0.000, 0.000, 0.000], [0.500, 0.500, 0.000], [0.164, 0.164, 0.000], [0.222, 0.222, 0.444], [0.222, 0.778, 0.000], [0.778, 0.222, 0.000], [0.778, 0.778, 0.556], [0.836, 0.836, 0.000]],
  "energy_ev_per_atom": -5.496,
  "e_form_raw_kj_per_mol_fu": -2686
}


{
  "formula": "RbSrHf2F",
  "functional": "PBE",
  "state": "optimized geometry",
  "cell": [[4.724, 0.000, 0.000], [0.000, 4.724, 0.000], [0.000, 0.000, 6.053]],
  "species": ["Rb", "Sr", "Hf", "Hf", "F"],
  "frac_coords": [[0.000, 0.000, 0.000], [0.500, 0.500, 0.000], [0.000, 0.500, 0.500], [0.500, 0.000, 0.500], [0.500, 0.500, 0.500]],
  "energy_ev_per_atom": -4.724,
  "e_form_raw_kj_per_mol_fu": 78
}


{
  "formula": "Rb2SrHfF6",
  "functional": "PBE",
  "state": "optimized geometry",
  "cell": [[-3.317, 3.317, 4.609], [3.317, -3.317, 4.609], [3.317, 3.317, -4.609]],
  "species": ["Rb", "Rb", "Sr", "Hf", "F", "F", "F", "F", "F", "F"],
  "frac_coords": [[0.250, 0.750, 0.500], [0.750, 0.250, 0.500], [0.000, 0.000, 0.000], [0.500, 0.500, 0.000], [0.265, 0.265, 0.529], [0.265, 0.735, 0.000], [0.276, 0.276, 0.000], [0.724, 0.724, 0.000], [0.735, 0.265, 0.000], [0.735, 0.735, 0.471]],
  "energy_ev_per_atom": -5.410,
  "e_form_raw_kj_per_mol_fu": -2827
}


{
  "formula": "Rb2HfTaF6",
  "functional": "PBE",
  "state": "optimized geometry",
  "cell": [[0.000, 4.831, 4.831], [4.831, 0.000, 4.831], [4.831, 4.831, 0.000]],
  "species": ["Rb", "Rb", "Hf", "Ta", "F", "F", "F", "F", "F", "F"],
  "frac_coords": [[0.250, 0.250, 0.250], [0.750, 0.750, 0.750], [0.000, 0.000, 0.000], [0.500, 0.500, 0.500], [0.208, 0.208, 0.792], [0.208, 0.792, 0.208], [0.208, 0.792, 0.792], [0.792, 0.208, 0.208], [0.792, 0.208, 0.792], [0.792, 0.792, 0.208]],
  "energy_ev_per_atom": -5.796,
  "e_form_raw_kj_per_mol_fu": -2218
}


{
  "formula": "RbHf2TaF",
  "functional": "PBE",
  "state": "optimized geometry",
  "cell": [[4.613, 0.000, 0.000], [0.000, 4.613, 0.000], [0.000, 0.000, 4.894]],
  "species": ["Rb", "Hf", "Hf", "Ta", "F"],
  "frac_coords": [[0.000, 0.000, 0.000], [0.000, 0.500, 0.500], [0.500, 0.000, 0.500], [0.500, 0.500, 0.000], [0.000, 0.000, 0.500]],
  "energy_ev_per_atom": -6.561,
  "e_form_raw_kj_per_mol_fu": 173
}


{
  "formula": "RbHfTaF2",
  "functional": "PBE",
  "state": "optimized geometry",
  "cell": [[4.404, 0.000, 0.000], [0.000, 4.404, 0.000], [0.000, 0.000, 5.569]],
  "species": ["Rb", "Hf", "Ta", "F", "F"],
  "frac_coords": [[0.000, 0.000, 0.000], [0.500, 0.500, 0.500], [0.500, 0.500, 0.000], [0.000, 0.500, 0.500], [0.500, 0.000, 0.500]],
  "energy_ev_per_atom": -5.826,
  "e_form_raw_kj_per_mol_fu": -252
}


{
  "formula": "Rb2HfTcF6",
  "functional": "PBE",
  "state": "optimized geometry",
  "cell": [[-3.272, 3.272, 5.561], [3.272, -3.272, 5.561], [3.272, 3.272, -5.561]],
  "species": ["Rb", "Rb", "Hf", "Tc", "F", "F", "F", "F", "F", "F"],
  "frac_coords": [[0.250, 0.750, 0.500], [0.750, 0.250, 0.500], [0.000, 0.000, 0.000], [0.500, 0.500, 0.000], [0.180, 0.180, 0.000], [0.217, 0.217, 0.435], [0.217, 0.783, 0.000], [0.783, 0.217, 0.000], [0.783, 0.783, 0.565], [0.820, 0.820, 0.000]],
  "energy_ev_per_atom": -5.749,
  "e_form_raw_kj_per_mol_fu": -2316
}


{
  "formula": "Rb2HfTeF6",
  "functional": "PBE",
  "state": "optimized geometry",
  "cell": [[-3.450, 3.450, 5.430], [3.450, -3.450, 5.430], [3.450, 3.450, -5.430]],
  "species": ["Rb", "Rb", "Hf", "Te", "F", "F", "F", "F", "F", "F"],
  "frac_coords": [[0.250, 0.750, 0.500], [0.750, 0.250, 0.500], [0.000, 0.000, 0.000], [0.500, 0.500, 0.000], [0.185, 0.185, 0.000], [0.205, 0.205, 0.411], [0.205, 0.795, 0.000], [0.795, 0.205, 0.000], [0.795, 0.795, 0.589], [0.815, 0.815, 0.000]],
  "energy_ev_per_atom": -5.417,
  "e_form_raw_kj_per_mol_fu": -2693
}


{
  "formula": "Rb2HfTiF6",
  "functional": "PBE",
  "state": "optimized geometry",
  "cell": [[-3.135, 3.135, 4.387], [3.135, -3.135, 4.387], [3.135, 3.135, -4.387]],
  "species": ["Rb", "Rb", "Hf", "Ti", "F", "F", "F", "F", "F", "F"],
  "frac_coords": [[0.250, 0.750, 0.500], [0.750, 0.250, 0.500], [0.000, 0.000, 0.000], [0.500, 0.500, 0.000], [0.238, 0.238, 0.000], [0.242, 0.242, 0.483], [0.242, 0.758, 0.000], [0.758, 0.242, 0.000], [0.758, 0.758, 0.517], [0.762, 0.762, 0.000]],
  "energy_ev_per_atom": -5.725,
  "e_form_raw_kj_per_mol_fu": -2531
}


{
  "formula": "Rb2HfTlF6",
  "functional": "PBE",
  "state": "optimized geometry",
  "cell": [[0.000, 4.944, 4.944], [4.944, 0.000, 4.944], [4.944, 4.944, 0.000]],
  "species": ["Rb", "Rb", "Hf", "Tl", "F", "F", "F", "F", "F", "F"],
  "frac_coords": [[0.250, 0.250, 0.250], [0.750, 0.750, 0.750], [0.000, 0.000, 0.000], [0.500, 0.500, 0.500], [0.204, 0.204, 0.796], [0.204, 0.796, 0.204], [0.204, 0.796, 0.796], [0.796, 0.204, 0.204], [0.796, 0.204, 0.796], [0.796, 0.796, 0.204]],
  "e_above_lowest_polymorph_ev_per_atom": 0.0156,
  "energy_ev_per_atom": -5.427,
  "e_form_raw_kj_per_mol_fu": -2778
}


{
  "formula": "Rb2HfTlF6",
  "functional": "PBE",
  "state": "optimized geometry",
  "cell": [[3.627, 2.094, 9.796], [-3.627, 2.094, 9.796], [0.000, -4.188, 9.796]],
  "species": ["Rb", "Rb", "Rb", "Rb", "Hf", "Hf", "Tl", "Tl", "F", "F", "F", "F", "F", "F", "F", "F", "F", "F", "F", "F"],
  "frac_coords": [[0.131, 0.131, 0.131], [0.257, 0.257, 0.257], [0.743, 0.743, 0.743], [0.869, 0.869, 0.869], [0.000, 0.000, 0.000], [0.500, 0.500, 0.500], [0.390, 0.390, 0.390], [0.610, 0.610, 0.610], [0.162, 0.625, 0.625], [0.167, 0.167, 0.793], [0.167, 0.793, 0.167], [0.207, 0.833, 0.833], [0.375, 0.375, 0.838], [0.375, 0.838, 0.375], [0.625, 0.162, 0.625], [0.625, 0.625, 0.162], [0.793, 0.167, 0.167], [0.833, 0.207, 0.833], [0.833, 0.833, 0.207], [0.838, 0.375, 0.375]],
  "e_above_lowest_polymorph_ev_per_atom": 0.0000,
  "energy_ev_per_atom": -5.443,
  "e_form_raw_kj_per_mol_fu": -2793
}


{
  "formula": "RbHfTl2F8",
  "functional": "PBE",
  "state": "optimized geometry",
  "cell": [[5.280, 0.000, 0.000], [0.000, 7.836, 0.000], [-0.013, 0.000, 6.015]],
  "species": ["Rb", "Hf", "Tl", "Tl", "F", "F", "F", "F", "F", "F", "F", "F"],
  "frac_coords": [[0.000, 0.000, 0.000], [0.000, 0.500, 0.000], [0.500, 0.255, 0.500], [0.500, 0.745, 0.500], [0.149, 0.315, 0.808], [0.149, 0.685, 0.808], [0.303, 0.500, 0.203], [0.389, 0.000, 0.300], [0.611, 0.000, 0.700], [0.697, 0.500, 0.797], [0.851, 0.315, 0.192], [0.851, 0.685, 0.192]],
  "energy_ev_per_atom": -5.345,
  "e_form_raw_kj_per_mol_fu": -3234
}


{
  "formula": "RbHfTlF6",
  "functional": "PBE",
  "state": "optimized geometry",
  "cell": [[6.827, 0.000, 0.000], [-3.413, 5.912, 0.000], [0.000, 0.000, 9.130]],
  "species": ["Rb", "Rb", "Hf", "Hf", "Tl", "Tl", "F", "F", "F", "F", "F", "F", "F", "F", "F", "F", "F", "F"],
  "frac_coords": [[0.333, 0.667, 0.250], [0.667, 0.333, 0.750], [0.333, 0.667, 0.750], [0.667, 0.333, 0.250], [0.000, 0.000, 0.000], [0.000, 0.000, 0.500], [0.092, 0.418, 0.627], [0.092, 0.674, 0.873], [0.326, 0.418, 0.873], [0.326, 0.908, 0.627], [0.418, 0.092, 0.127], [0.418, 0.326, 0.373], [0.582, 0.674, 0.627], [0.582, 0.908, 0.873], [0.674, 0.092, 0.373], [0.674, 0.582, 0.127], [0.908, 0.326, 0.127], [0.908, 0.582, 0.373]],
  "energy_ev_per_atom": -5.950,
  "e_form_raw_kj_per_mol_fu": -2802
}